Here is a relaxed AcCuGeN crystal from Alexandria. Energies are from GGA-PBE.

The structure belongs to space group P4/nmm (No. 129, origin choice 2); the cell edges are 4.035, 4.035 and 8.832 Å and the angles 90.00°, 90.00° and 90.00°. Symmetry generates all atoms from Ac at (0.250, 0.250, 0.159), Cu at (0.250, 0.750, 0.500), Ge at (0.250, 0.250, 0.654) and N at (0.250, 0.250, 0.874).

For the total energy, the calculation gives -47.68 eV for the cell shown. Its raw formation energy is -0.67 eV per atom. The magnetization comes out at 0.00 Bohr magnetons per cell.